1.
Crystalline Ce2SiAu3 at its relaxed geometry, computed with PBE.

- DOS(E_F) (states/eV per atom) = 1.726
- E_form (uncorrected) (eV/atom) = -0.704
- mass density (g cm⁻³) = 11.15

Unit cell a=5.871 b=5.871 c=8.772 alpha=104.98 beta=104.98 gamma=103.14
Positions (direct):
Au  0.823  0.351  0.174
Ce  0.768  0.768  0.000
Si  0.666  0.666  0.331
Au  0.826  0.826  0.651
Au  0.351  0.823  0.174
Au  0.649  0.177  0.826
Ce  0.250  0.750  0.500
Au  0.177  0.649  0.826
Ce  0.232  0.232  0.000
Ce  0.750  0.250  0.500
Si  0.334  0.334  0.669
Au  0.174  0.174  0.349

2.
Crystalline Dy2Sc3Zn3 at its relaxed geometry, computed with PBE.

- ΔH_f (0 K) (meV/atom) = -220
- DOS(E_F) (states/eV per atom) = 0.856
- mass density (g cm⁻³) = 6.23

Unit cell a=3.487 b=4.879 c=10.710 alpha=103.17 beta=99.37 gamma=90.00
Positions (direct):
Zn  0.109  0.109  0.219
Sc  0.500  0.000  0.000
Dy  0.273  0.773  0.545
Dy  0.727  0.227  0.455
Sc  0.616  0.616  0.231
Zn  0.891  0.891  0.781
Sc  0.384  0.384  0.769
Zn  0.000  0.500  0.000

3.
Crystalline LaHNO2 at its relaxed geometry, computed with PBE.

- DOS(E_F) (states/eV per atom) = 0.302
- electronic total energy (eV for the cell shown) = -25.44
- mass density (g cm⁻³) = 2.83

Unit cell a=4.506 b=4.506 c=5.365 alpha=90.00 beta=90.00 gamma=90.00
Positions (direct):
O  0.000  0.500  0.000
H  0.500  0.500  0.500
La  0.000  0.000  0.000
N  0.000  0.000  0.500
O  0.500  0.000  0.000

4.
Crystalline NbCuP2S at its relaxed geometry, computed with PBE.

- DOS(E_F) (states/eV per atom) = 0.822
- E_form (uncorrected) (eV/atom) = 0.526
- mass density (g cm⁻³) = 3.75
- energy above the lowest structure with this stoichiometry (meV per atom) = 0.0

Unit cell a=4.853 b=4.853 c=4.711 alpha=90.00 beta=90.00 gamma=90.00
Positions (direct):
S  0.000  0.000  0.500
Cu  0.500  0.500  0.500
P  0.000  0.500  0.000
Nb  0.000  0.000  0.000
P  0.500  0.000  0.000

5.
Crystalline KNbOs2 at its relaxed geometry, computed with PBE.

- ΔH_f (0 K) (meV/atom) = 1281
- DOS(E_F) (states/eV per atom) = 0.874
- mass density (g cm⁻³) = 12.05
- energy above the lowest structure with this stoichiometry (meV per atom) = 0.0

Unit cell a=4.639 b=4.639 c=4.639 alpha=60.00 beta=60.00 gamma=60.00
Positions (direct):
K  0.000  0.000  0.000
Nb  0.500  0.500  0.500
Os  0.750  0.750  0.750
Os  0.250  0.250  0.250

6.
Crystalline DyTm2Ge2Pt7 at its relaxed geometry, computed with PBE.

- ΔH_f (0 K) (meV/atom) = -980
- DOS(E_F) (states/eV per atom) = 0.354
- mass density (g cm⁻³) = 14.82

Unit cell a=4.034 b=4.034 c=14.054 alpha=82.97 beta=82.97 gamma=89.43
Positions (direct):
Dy  0.000  0.000  0.000
Tm  0.864  0.864  0.359
Pt  0.433  0.933  0.157
Ge  0.389  0.389  0.261
Pt  0.933  0.433  0.157
Pt  0.351  0.351  0.435
Pt  0.649  0.649  0.565
Tm  0.136  0.136  0.641
Pt  0.500  0.500  0.000
Ge  0.611  0.611  0.739
Pt  0.067  0.567  0.843
Pt  0.567  0.067  0.843

- Among the records above, which one has the lowest mass density?
  LaHNO2

- What is the DOS(E_F) in the third record?
  0.302 states/eV per atom

- Among the records above, which one has the highest mass density?
  DyTm2Ge2Pt7

- Which formula does entry 3 have?
  LaHNO2